(1)
# Mn2BPb4

A geometry-optimized Mn2BPb4 structure (GGA-PBE, Alexandria).

Summary:
The formation energy from the elements is 805 meV/atom. As for the space group: I4/mmm, No. 139.

Cell lengths 5.362, 5.362, 7.422 Å; angles 68.82, 68.82, 90.00 degrees
Each line ends with the local moment (μB).
Sites, in units of the cell vectors:
Pb (0.819, 0.819, 0.363)  -0.03
Pb (0.181, 0.181, 0.637)  -0.03
Pb (0.000, 0.500, 0.000)  -0.03
Pb (0.500, 0.000, 0.000)  -0.03
B (0.000, 0.000, 0.000)  0.09
Mn (0.602, 0.602, 0.796)  3.77
Mn (0.398, 0.398, 0.204)  3.77

=====

(2)
# TmAlAg3

A geometry-optimized TmAlAg3 structure (GGA-PBE, Alexandria).

Summary:
The formation energy from the elements is -180 meV/atom. As for the space group: Pnma, No. 62.

Cell lengths 4.226, 8.940, 10.655 Å; angles 90.00, 90.00, 90.00 degrees
Sites, in units of the cell vectors:
Tm (0.750, 0.818, 0.997)
Tm (0.250, 0.682, 0.497)
Tm (0.750, 0.318, 0.503)
Tm (0.250, 0.182, 0.003)
Al (0.250, 0.122, 0.643)
Al (0.250, 0.622, 0.857)
Al (0.750, 0.378, 0.143)
Al (0.750, 0.878, 0.357)
Ag (0.250, 0.563, 0.095)
Ag (0.750, 0.437, 0.905)
Ag (0.250, 0.063, 0.405)
Ag (0.750, 0.937, 0.595)
Ag (0.250, 0.402, 0.698)
Ag (0.750, 0.098, 0.198)
Ag (0.250, 0.902, 0.802)
Ag (0.750, 0.642, 0.698)
Ag (0.250, 0.358, 0.302)
Ag (0.750, 0.142, 0.802)
Ag (0.750, 0.598, 0.302)
Ag (0.250, 0.858, 0.198)

=====

(3)
# Nb12Sn6C

A geometry-optimized Nb12Sn6C structure (GGA-PBE, Alexandria).

Summary:
The formation energy from the elements is 100 meV/atom. As for the space group: R-3, No. 148.

Cell lengths 7.548, 7.548, 7.548 Å; angles 102.36, 102.36, 102.36 degrees
Sites, in units of the cell vectors:
Nb (0.777, 0.591, 0.507)
Nb (0.507, 0.777, 0.591)
Nb (0.591, 0.507, 0.777)
Nb (0.223, 0.409, 0.493)
Nb (0.493, 0.223, 0.409)
Nb (0.409, 0.493, 0.223)
Nb (0.057, 0.033, 0.300)
Nb (0.967, 0.700, 0.943)
Nb (0.700, 0.943, 0.967)
Nb (0.943, 0.967, 0.700)
Nb (0.033, 0.300, 0.057)
Nb (0.300, 0.057, 0.033)
Sn (0.671, 0.897, 0.319)
Sn (0.681, 0.329, 0.103)
Sn (0.103, 0.681, 0.329)
Sn (0.329, 0.103, 0.681)
Sn (0.319, 0.671, 0.897)
Sn (0.897, 0.319, 0.671)
C (0.000, 0.000, 0.000)

=====

(4)
# CaPd12Au6

A geometry-optimized CaPd12Au6 structure (GGA-PBE, Alexandria).

Summary:
The formation energy from the elements is 74 meV/atom. As for the space group: R-3m, No. 166.

Cell lengths 7.422, 7.422, 7.422 Å; angles 105.50, 105.50, 105.50 degrees
Sites, in units of the cell vectors:
Ca (0.000, 0.000, 0.000)
Pd (0.890, 0.110, 0.500)
Pd (0.891, 0.652, 0.652)
Pd (0.652, 0.652, 0.891)
Pd (0.348, 0.109, 0.348)
Pd (0.348, 0.348, 0.109)
Pd (0.109, 0.348, 0.348)
Pd (0.110, 0.500, 0.890)
Pd (0.500, 0.890, 0.110)
Pd (0.110, 0.890, 0.500)
Pd (0.890, 0.500, 0.110)
Pd (0.500, 0.110, 0.890)
Pd (0.652, 0.891, 0.652)
Au (0.701, 0.304, 0.304)
Au (0.304, 0.304, 0.701)
Au (0.304, 0.701, 0.304)
Au (0.696, 0.696, 0.299)
Au (0.299, 0.696, 0.696)
Au (0.696, 0.299, 0.696)

=====

(5)
# Cd2CoPb

A geometry-optimized Cd2CoPb structure (GGA-PBE, Alexandria).

Summary:
The formation energy from the elements is 329 meV/atom. As for the space group: R3m, No. 160.

Cell lengths 9.664, 9.664, 9.664 Å; angles 19.26, 19.26, 19.26 degrees
Each line ends with the local moment (μB).
Sites, in units of the cell vectors:
Cd (0.997, 0.997, 0.997)  -0.01
Cd (0.237, 0.237, 0.237)  -0.03
Co (0.502, 0.502, 0.502)  1.22
Pb (0.764, 0.764, 0.764)  -0.03

=====

(6)
# LiHg3Te4

A geometry-optimized LiHg3Te4 structure (GGA-PBE, Alexandria).

Summary:
As for the space group: Pmn2_1, No. 31. The formation energy without anion corrections is -0.240 eV per atom.

Cell lengths 7.662, 7.913, 9.161 Å; angles 90.00, 90.00, 90.00 degrees
Sites, in units of the cell vectors:
Li (0.996, 0.167, 0.000)
Li (0.496, 0.833, 0.500)
Hg (0.498, 0.829, 0.000)
Hg (0.000, 0.665, 0.250)
Hg (0.500, 0.335, 0.250)
Hg (0.998, 0.171, 0.500)
Hg (0.500, 0.335, 0.750)
Hg (0.000, 0.665, 0.750)
Te (0.127, 0.843, 0.000)
Te (0.638, 0.166, 0.000)
Te (0.128, 0.327, 0.242)
Te (0.628, 0.673, 0.258)
Te (0.138, 0.834, 0.500)
Te (0.627, 0.157, 0.500)
Te (0.628, 0.673, 0.742)
Te (0.128, 0.327, 0.758)

=====

(7)
# AcTbSiAu

A geometry-optimized AcTbSiAu structure (GGA-PBE, Alexandria).

Summary:
As for the space group: F-43m, No. 216. The formation energy without anion corrections is -0.556 eV per atom.

Cell lengths 5.304, 5.304, 5.304 Å; angles 60.00, 60.00, 60.00 degrees
Each line ends with the local moment (μB).
Sites, in units of the cell vectors:
Tb (0.500, 0.500, 0.500)  0.19
Ac (0.000, 0.000, 0.000)  0.07
Au (0.750, 0.750, 0.750)  0.03
Si (0.250, 0.250, 0.250)  -0.01

=====

(8)
# CdFe3Hg

A geometry-optimized CdFe3Hg structure (GGA-PBE, Alexandria).

Summary:
Its energy relative to the lowest polymorph listed for this composition is 0.000 eV/atom. The formation energy from the elements is 1456 meV/atom. As for the space group: Pm-3m, No. 221.

Cell lengths 4.863, 4.863, 4.863 Å; angles 90.00, 90.00, 90.00 degrees
Each line ends with the local moment (μB).
Sites, in units of the cell vectors:
Fe (0.000, 0.500, 0.000)  3.06
Fe (0.000, 0.000, 0.500)  3.66
Fe (0.500, 0.000, 0.000)  2.56
Hg (0.000, 0.000, 0.000)  -0.04
Cd (0.500, 0.500, 0.500)  -0.04

=====

(9)
# Nd2PaBr

A geometry-optimized Nd2PaBr structure (GGA-PBE, Alexandria).

Summary:
As for the space group: R-3m, No. 166. The formation energy without anion corrections is -0.169 eV per atom.

Cell lengths 3.393, 3.393, 11.704 Å; angles 81.67, 81.67, 60.00 degrees
Sites, in units of the cell vectors:
Pa (0.000, 0.000, 0.000)
Nd (0.095, 0.095, 0.714)
Nd (0.905, 0.905, 0.286)
Br (0.500, 0.500, 0.500)

=====

(10)
# CsTl2Sn2

A geometry-optimized CsTl2Sn2 structure (GGA-PBE, Alexandria).

Summary:
Its energy relative to the lowest polymorph listed for this composition is 0.000 eV/atom. The formation energy from the elements is -131 meV/atom. As for the space group: I4/mmm, No. 139.

Cell lengths 5.545, 5.545, 7.073 Å; angles 66.92, 66.92, 90.00 degrees
Sites, in units of the cell vectors:
Cs (0.000, 0.000, 0.000)
Tl (0.750, 0.250, 0.500)
Tl (0.250, 0.750, 0.500)
Sn (0.376, 0.376, 0.248)
Sn (0.624, 0.624, 0.752)

=====

(11)
# Na3AgHg

A geometry-optimized Na3AgHg structure (GGA-PBE, Alexandria).

Summary:
Its energy relative to the lowest polymorph listed for this composition is 0.013 eV/atom. The formation energy from the elements is -68 meV/atom. As for the space group: P2_1/m, No. 11.

Cell lengths 5.731, 6.057, 7.940 Å; angles 90.00, 104.93, 90.00 degrees
Sites, in units of the cell vectors:
Na (0.544, 0.250, 0.147)
Na (0.685, 0.250, 0.585)
Na (0.000, 0.000, 0.000)
Na (0.456, 0.750, 0.853)
Na (0.315, 0.750, 0.415)
Na (0.000, 0.500, 0.000)
Ag (0.243, 0.250, 0.741)
Ag (0.757, 0.750, 0.259)
Hg (0.897, 0.750, 0.638)
Hg (0.103, 0.250, 0.362)

=====

Copy entry 1 word for word.
# Mn2BPb4

A geometry-optimized Mn2BPb4 structure (GGA-PBE, Alexandria).

Summary:
The formation energy from the elements is 805 meV/atom. As for the space group: I4/mmm, No. 139.

Cell lengths 5.362, 5.362, 7.422 Å; angles 68.82, 68.82, 90.00 degrees
Each line ends with the local moment (μB).
Sites, in units of the cell vectors:
Pb (0.819, 0.819, 0.363)  -0.03
Pb (0.181, 0.181, 0.637)  -0.03
Pb (0.000, 0.500, 0.000)  -0.03
Pb (0.500, 0.000, 0.000)  -0.03
B (0.000, 0.000, 0.000)  0.09
Mn (0.602, 0.602, 0.796)  3.77
Mn (0.398, 0.398, 0.204)  3.77